(1)
VASP calculation (PBE-GGA) on a relaxed Er2ZrCd6 crystal.

Cell lengths 8.5380, 8.5380, 3.2965 Å; angles 90.00, 90.00, 120.00 degrees
Space group P6/mmm (No. 191)
One atom of each set of equivalent atoms:
Er 0.3333 0.6667 0.0000 x2
Zr 0.0000 0.0000 0.0000 x1
Cd 0.0000 0.3301 0.5000 x6

**Crystal system**: hexagonal
**Magnetic moment**: 0.00 μB per atom
**Energy of formation from the pure elements**: -216.0 meV/atom

(2)
VASP calculation (PBE-GGA) on a relaxed LiBiF3 crystal.

Cell lengths 3.925, 3.925, 3.925 Å; angles 90.00, 90.00, 90.00 degrees
Space group Pm-3m (No. 221)
One atom of each set of equivalent atoms:
Li 0.000 0.000 0.000 x1
Bi 0.500 0.500 0.500 x1
F 0.000 0.000 0.500 x3

**Formation energy from raw total energies**: -2154 meV/atom
**Crystal system**: cubic
**Magnetic moment**: 0.00 μB per atom

Question: Look up the magnetic moment of the second one.
Answer: 0.00 μB per atom

Question: Look up the magnetic moment of the second one.
Answer: 0.00 μB per atom

Please write out number 2 again, unchanged.
VASP calculation (PBE-GGA) on a relaxed LiBiF3 crystal.

Cell lengths 3.925, 3.925, 3.925 Å; angles 90.00, 90.00, 90.00 degrees
Space group Pm-3m (No. 221)
One atom of each set of equivalent atoms:
Li 0.000 0.000 0.000 x1
Bi 0.500 0.500 0.500 x1
F 0.000 0.000 0.500 x3

**Formation energy from raw total energies**: -2154 meV/atom
**Crystal system**: cubic
**Magnetic moment**: 0.00 μB per atom